## SmAlZn11 (GGA-PBE)

Data for an optimized crystal structure of SmAlZn11.

energy of formation: -0.182 eV/atom
SG: C2/m, No. 12
size of the total moment: 0.00 μB per formula unit

Cell: 5.272 6.832 6.831 Å, 81.38 67.30 67.14°
Sites, in units of the cell vectors:
Zn 0.502 0.783 0.220
Zn 0.500 0.000 0.500
Zn 0.278 0.217 0.220
Zn 0.999 0.646 0.356
Zn 0.000 0.500 0.000
Zn 0.355 0.646 0.644
Zn 0.498 0.217 0.780
Zn 0.722 0.783 0.780
Zn 0.000 0.000 0.500
Zn 0.001 0.354 0.644
Zn 0.645 0.354 0.356
Sm 0.000 0.000 0.000
Al 0.500 0.500 0.000